{
  "formula": "InSiAu2",
  "functional": "GGA-PBE",
  "state": "relaxed",
  "cell": [[4.133, -0.011, -0.021], [2.513, 3.281, -0.021], [1.525, 0.750, 5.997]],
  "species": ["In", "Si", "Au", "Au"],
  "frac_coords": [[0.250, 0.250, 0.250], [0.750, 0.750, 0.750], [0.487, 0.487, 0.545], [0.013, 0.013, 0.955]],
  "magnetic_moment_mub_per_cell": 0.00,
  "energy_ev_per_atom": -3.6836,
  "vol_a3_per_atom": 20.40,
  "mass_density_g_cm3": 10.9
}